Crystalline LaAlPb2 at its relaxed geometry. Source: the Alexandria database, functional PBEsol.

Unit cell a=4.637 b=4.637 c=9.904 alpha=90.00 beta=90.00 gamma=90.00
Space group I4/mmm (No. 139)
Inequivalent atoms, fractional coordinates:
La 0.000 0.000 0.000 x2
Al 0.000 0.000 0.500 x2
Pb 0.000 0.500 0.250 x4

Calculated values
The calculation puts the magnetic moment at 0.000 μB/f.u. The calculation puts the energy at -4.68 eV per atom.

Crystalline La3AlPb at its relaxed geometry. Source: the Alexandria database, functional PBEsol.

Unit cell a=5.650 b=5.650 c=5.650 alpha=90.00 beta=90.00 gamma=90.00
Space group Pm-3m (No. 221)
Inequivalent atoms, fractional coordinates:
La 0.000 0.000 0.500 x3
Al 0.000 0.000 0.000 x1
Pb 0.500 0.500 0.500 x1

Calculated values
The calculation puts the magnetic moment at 0.000 μB/f.u. The calculation puts the energy at -4.79 eV per atom.

Crystalline LaAlPb2 at its relaxed geometry. Source: the Alexandria database, functional PBEsol.

Unit cell a=4.593 b=4.593 c=10.055 alpha=90.00 beta=90.00 gamma=90.00
Space group I-4m2 (No. 119)
Inequivalent atoms, fractional coordinates:
La 0.000 0.000 0.000 x2
Al 0.000 0.500 0.750 x2
Pb 0.000 0.000 0.500 x2
Pb 0.000 0.500 0.250 x2

Calculated values
The calculation puts the magnetic moment at 0.000 μB/f.u. The calculation puts the energy at -4.66 eV per atom.

Crystalline La2AlPd at its relaxed geometry. Source: the Alexandria database, functional PBEsol.

Unit cell a=8.285 b=8.285 c=6.091 alpha=90.00 beta=90.00 gamma=90.00
Space group I-42d (No. 122)
Inequivalent atoms, fractional coordinates:
La 0.203 0.250 0.125 x8
Al 0.000 0.000 0.500 x4
Pd 0.000 0.000 0.000 x4

Calculated values
The calculation puts the magnetic moment at 0.000 μB/f.u. The calculation puts the energy at -5.40 eV per atom.

Crystalline LaAl5Pd2 at its relaxed geometry. Source: the Alexandria database, functional PBEsol.

Unit cell a=4.104 b=7.215 c=9.870 alpha=90.00 beta=90.00 gamma=90.00
Space group Immm (No. 71)
Inequivalent atoms, fractional coordinates:
La 0.000 0.000 0.000 x2
Al 0.000 0.189 0.350 x8
Al 0.000 0.500 0.000 x2
Pd 0.000 0.500 0.241 x4

Calculated values
The calculation puts the magnetic moment at 0.000 μB/f.u. The calculation puts the energy at -5.43 eV per atom.

Crystalline LaAl2Pd2 at its relaxed geometry. Source: the Alexandria database, functional PBEsol.

Unit cell a=4.386 b=4.386 c=9.986 alpha=90.00 beta=90.00 gamma=90.00
Space group P4/nmm (No. 129, origin choice 2)
Inequivalent atoms, fractional coordinates:
La 0.250 0.250 0.246 x2
Al 0.250 0.250 0.878 x2
Al 0.250 0.750 0.500 x2
Pd 0.250 0.250 0.629 x2
Pd 0.250 0.750 0.000 x2

Calculated values
The calculation puts the magnetic moment at 0.000 μB/f.u. For the relative energy among the computed polymorphs, the calculation gives 0.000 eV per atom. The calculation puts the energy at -5.94 eV per atom.

Crystalline LaAl2Pd2 at its relaxed geometry. Source: the Alexandria database, functional PBEsol.

Unit cell a=4.357 b=4.357 c=10.226 alpha=90.00 beta=90.00 gamma=90.00
Space group I4/mmm (No. 139)
Inequivalent atoms, fractional coordinates:
La 0.000 0.000 0.000 x2
Al 0.000 0.000 0.368 x4
Pd 0.000 0.500 0.250 x4

Calculated values
The calculation puts the magnetic moment at 0.000 μB/f.u. For the relative energy among the computed polymorphs, the calculation gives 0.062 eV per atom. The calculation puts the energy at -5.88 eV per atom.

Crystalline LaTaAlPd2 at its relaxed geometry. Source: the Alexandria database, functional PBEsol.

Unit cell a=4.891 b=4.891 c=5.253 alpha=90.00 beta=90.00 gamma=90.00
Space group P4/mmm (No. 123)
Inequivalent atoms, fractional coordinates:
La 0.000 0.000 0.000 x1
Ta 0.000 0.000 0.500 x1
Al 0.500 0.500 0.500 x1
Pd 0.000 0.500 0.000 x2

Calculated values
The calculation puts the magnetic moment at 0.083 μB/f.u. The calculation puts the energy at -5.28 eV per atom.

Crystalline LaAl3Pt at its relaxed geometry. Source: the Alexandria database, functional PBEsol.

Unit cell a=5.362 b=5.362 c=5.362 alpha=90.00 beta=90.00 gamma=90.00
Space group Pm-3m (No. 221)
Inequivalent atoms, fractional coordinates:
La 0.000 0.000 0.000 x1
Al 0.000 0.000 0.500 x3
Pt 0.500 0.500 0.500 x1

Calculated values
The calculation puts the magnetic moment at 0.001 μB/f.u. The calculation puts the energy at -3.08 eV per atom.

Crystalline La2AlPt at its relaxed geometry. Source: the Alexandria database, functional PBEsol.

Unit cell a=8.289 b=8.289 c=6.205 alpha=90.00 beta=90.00 gamma=90.00
Space group I-42d (No. 122)
Inequivalent atoms, fractional coordinates:
La 0.203 0.750 0.125 x8
Al 0.000 0.000 0.500 x4
Pt 0.000 0.000 0.000 x4

Calculated values
The calculation puts the magnetic moment at 0.000 μB/f.u. The calculation puts the energy at -5.78 eV per atom.

Crystalline LaAl2Pt3 at its relaxed geometry. Source: the Alexandria database, functional PBEsol.

Unit cell a=5.5768 b=5.5768 c=3.9642 alpha=90.00 beta=90.00 gamma=120.00
Space group P6/mmm (No. 191)
Inequivalent atoms, fractional coordinates:
La 0.0000 0.0000 0.0000 x1
Al 0.3333 0.6667 0.0000 x2
Pt 0.0000 0.5000 0.5000 x3

Calculated values
The calculation puts the magnetic moment at 0.000 μB/f.u. The calculation puts the energy at -6.83 eV per atom.

Crystalline LaAlPt at its relaxed geometry. Source: the Alexandria database, functional PBEsol.

Unit cell a=4.3930 b=4.3930 c=4.0371 alpha=90.00 beta=90.00 gamma=120.00
Space group P-6m2 (No. 187)
Inequivalent atoms, fractional coordinates:
La 0.0000 0.0000 0.0000 x1
Al 0.6667 0.3333 0.5000 x1
Pt 0.3333 0.6667 0.5000 x1

Calculated values
The calculation puts the magnetic moment at 0.000 μB/f.u. The calculation puts the energy at -6.38 eV per atom.